Entry 1:
Compound: Ba2Al4PdAu3
Source: Alexandria
Functional: PBE-GGA
Structure: relaxed

a = 4.6383 Å, b = 4.6383 Å, c = 10.6067 Å
α = 90.00°, β = 90.00°, γ = 90.00°
Closest atoms and distances in Å follow each position.
Fractional positions:
1 Ba 0.0000 0.5000 0.7476  6 Au 3.50-3.54, 2 Pd 3.50, 9 Al 3.54-3.82
2 Ba 0.5000 0.0000 0.2524  2 Pd 3.50, 6 Au 3.50-3.54, 9 Al 3.54-3.82
3 Al 0.5000 0.5000 0.0000  4 Au 2.69
4 Al 0.5000 0.0000 0.6126  2 Pd 2.61, 3 Au 2.61-2.75
5 Al 0.0000 0.0000 0.0000  4 Au 2.69
6 Al 0.0000 0.5000 0.3874  3 Au 2.61-2.75, 2 Pd 2.61
7 Au 0.0000 0.5000 0.1278  5 Al 2.69-2.75
8 Au 0.0000 0.0000 0.5000  4 Al 2.61
9 Au 0.5000 0.0000 0.8722  5 Al 2.69-2.75
10 Pd 0.5000 0.5000 0.5000  4 Al 2.61

Output
VASP energy: -4.00 eV per atom
Total magnetic moment: 0.0 μB/f.u.
ΔH_f (0 K): -595 kJ/mol of formula units
Calculated volume: 228 Å³/cell


Entry 2:
Compound: Ba2AlPdAu6
Source: Alexandria
Functional: PBE-GGA
Structure: relaxed

a = 7.4250 Å, b = 6.8718 Å, c = 7.3918 Å
α = 62.10°, β = 55.27°, γ = 89.96°
Closest atoms and distances in Å follow each position.
Fractional positions:
1 Au 0.2567 0.1739 0.0766  1 Al 2.50, 1 Pd 2.69
2 Au 0.7439 0.2510 0.9216  1 Al 2.50, 1 Pd 2.69
3 Au 0.7433 0.8261 0.9234  1 Al 2.50, 1 Pd 2.69
4 Au 0.8349 0.7477 0.5067  1 Al 2.50, 1 Pd 2.69
5 Au 0.2561 0.7490 0.0784  1 Al 2.50, 1 Pd 2.69
6 Au 0.1651 0.2523 0.4933  1 Al 2.50, 1 Pd 2.69
7 Ba 0.7218 0.2810 0.4395  12 Au 3.53-3.92
8 Ba 0.2782 0.7190 0.5605  12 Au 3.53-3.92
9 Al 0.5000 0.5000 0.0000  6 Au 2.50
10 Pd 0.0000 0.0000 0.0000  6 Au 2.69

Output
VASP energy: -3.79 eV per atom
Total magnetic moment: 0.0 μB/f.u.
ΔH_f (0 K): -528 kJ/mol of formula units
Calculated volume: 255 Å³/cell


Entry 3:
Compound: Ba2Al12Pt3Au
Source: Alexandria
Functional: PBE-GGA
Structure: relaxed

a = 8.1415 Å, b = 8.1415 Å, c = 8.1415 Å
α = 70.54°, β = 70.54°, γ = 70.54°
Closest atoms and distances in Å follow each position.
Fractional positions:
1 Pt 0.0000 0.5000 0.0000  6 Al 2.48-2.51
2 Pt 0.0000 0.0000 0.5000  6 Al 2.48-2.51
3 Pt 0.5000 0.0000 0.0000  6 Al 2.48-2.51
4 Ba 0.6042 0.6042 0.6042  3 Al 3.30
5 Ba 0.3958 0.3958 0.3958  3 Al 3.30
6 Al 0.8715 0.8715 0.3487  1 Pt 2.48, 1 Au 2.65
7 Al 0.1285 0.1285 0.6513  1 Pt 2.48, 1 Au 2.65
8 Al 0.6513 0.1285 0.1285  1 Pt 2.48, 1 Au 2.65
9 Al 0.8715 0.3487 0.8715  1 Pt 2.48, 1 Au 2.65
10 Al 0.2364 0.9019 0.2364  2 Pt 2.51
11 Al 0.2364 0.2364 0.9019  2 Pt 2.51
12 Al 0.7636 0.7636 0.0981  2 Pt 2.51
13 Al 0.3487 0.8715 0.8715  1 Pt 2.48, 1 Au 2.65
14 Al 0.7636 0.0981 0.7636  2 Pt 2.51
15 Al 0.0981 0.7636 0.7636  2 Pt 2.51
16 Al 0.1285 0.6513 0.1285  1 Pt 2.48, 1 Au 2.65
17 Al 0.9019 0.2364 0.2364  2 Pt 2.51
18 Au 0.0000 0.0000 0.0000  12 Al 2.65-2.91

Output
VASP energy: -4.12 eV per atom
Total magnetic moment: 0.0 μB/f.u.
ΔH_f (0 K): -391 kJ/mol of formula units
Calculated volume: 465 Å³/cell


Entry 4:
Compound: BaAl2RhAu
Source: Alexandria
Functional: PBE-GGA
Structure: relaxed

a = 4.7268 Å, b = 5.4563 Å, c = 4.7268 Å
α = 90.00°, β = 90.00°, γ = 90.00°
Closest atoms and distances in Å follow each position.
Fractional positions:
1 Rh 0.0000 0.0000 0.0000  4 Al 2.36
2 Al 0.0000 0.0000 0.5000  2 Rh 2.36
3 Al 0.5000 0.0000 0.0000  2 Rh 2.36
4 Au 0.0000 0.5000 0.0000  2 Rh 2.73
5 Ba 0.5000 0.5000 0.5000  4 Au 3.34, 8 Al 3.61

Output
VASP energy: -4.48 eV per atom
Total magnetic moment: 0.0 μB/f.u.
ΔH_f (0 K): -230 kJ/mol of formula units
Calculated volume: 122 Å³/cell


Entry 5:
Compound: Ba2AlRuAu
Source: Alexandria
Functional: PBE-GGA
Structure: relaxed

a = 5.8654 Å, b = 4.7696 Å, c = 5.8654 Å
α = 90.00°, β = 90.00°, γ = 90.00°
Closest atoms and distances in Å follow each position.
Fractional positions:
1 Ru 0.0000 0.0000 0.0000  2 Al 2.38
2 Au 0.5000 0.5000 0.5000  8 Ba 3.78, 4 Al 4.15
3 Ba 0.5000 0.0000 0.0000  2 Ru 2.93
4 Ba 0.0000 0.0000 0.5000  2 Ru 2.93
5 Al 0.0000 0.5000 0.0000  2 Ru 2.38

Output
VASP energy: -4.11 eV per atom
Total magnetic moment: 0.0 μB/f.u.
ΔH_f (0 K): -41 kJ/mol of formula units
Calculated volume: 164 Å³/cell
Distance to the lowest polymorph of the same formula: 0 meV/atom


Entry 6:
Compound: Ba2AlRuAu
Source: Alexandria
Functional: PBE-GGA
Structure: relaxed

a = 6.2002 Å, b = 5.0043 Å, c = 6.2002 Å
α = 90.00°, β = 90.00°, γ = 90.00°
Closest atoms and distances in Å follow each position.
Fractional positions:
1 Ba 0.5000 0.0000 0.0000  2 Au 3.10
2 Ba 0.0000 0.0000 0.5000  2 Au 3.10
3 Al 0.5000 0.5000 0.5000  8 Ba 3.98, 4 Ru 4.38
4 Au 0.0000 0.0000 0.0000  2 Ru 2.50
5 Ru 0.0000 0.5000 0.0000  2 Au 2.50

Output
VASP energy: -3.51 eV per atom
Total magnetic moment: 1.1 μB/f.u.
ΔH_f (0 K): 252 kJ/mol of formula units
Calculated volume: 192 Å³/cell
Distance to the lowest polymorph of the same formula: 607 meV/atom


Entry 7:
Compound: BaAlAuS3
Source: Alexandria
Functional: PBE-GGA
Structure: relaxed

a = 7.1411 Å, b = 7.1411 Å, c = 7.8275 Å
α = 70.16°, β = 70.16°, γ = 59.54°
Closest atoms and distances in Å follow each position.
Fractional positions:
1 S 0.6725 0.1871 0.8257  1 Al 2.21, 1 Au 2.35
2 S 0.8129 0.3275 0.1743  1 Al 2.21, 1 Au 2.35
3 S 0.7750 0.7750 0.3425  1 Al 2.14
4 S 0.2250 0.2250 0.6575  1 Al 2.14
5 S 0.1871 0.6725 0.8257  1 Al 2.21, 1 Au 2.35
6 S 0.3275 0.8129 0.1743  1 Al 2.21, 1 Au 2.35
7 Ba 0.2986 0.2986 0.2234  5 S 3.16-3.51
8 Ba 0.7014 0.7014 0.7766  5 S 3.16-3.51
9 Au 0.2708 0.7292 0.5000  2 S 2.35
10 Au 0.7292 0.2708 0.5000  2 S 2.35
11 Al 0.0383 0.0383 0.7459  3 S 2.14-2.21
12 Al 0.9617 0.9617 0.2541  3 S 2.14-2.21

Output
VASP energy: -4.65 eV per atom
Total magnetic moment: 0.0 μB/f.u.
Calculated volume: 317 Å³/cell
Raw formation energy: -1098 meV per atom


Entry 8:
Compound: Ba2Al3SbAu12
Source: Alexandria
Functional: PBE-GGA
Structure: relaxed

a = 10.5063 Å, b = 10.5063 Å, c = 10.5063 Å
α = 39.52°, β = 39.52°, γ = 39.52°
Closest atoms and distances in Å follow each position.
Fractional positions:
1 Au 0.5932 0.5932 0.1871  2 Al 2.58, 4 Au 2.81-2.88
2 Au 0.0749 0.0749 0.6330  1 Al 2.75, 1 Sb 2.78, 2 Au 2.81
3 Au 0.9251 0.3670 0.9251  1 Al 2.75, 1 Sb 2.78, 2 Au 2.81
4 Au 0.4068 0.8129 0.4068  2 Al 2.58, 4 Au 2.81-2.88
5 Au 0.5932 0.1871 0.5932  2 Al 2.58, 4 Au 2.81-2.88
6 Au 0.9251 0.9251 0.3670  1 Al 2.75, 1 Sb 2.78, 2 Au 2.81
7 Au 0.6330 0.0749 0.0749  1 Al 2.75, 1 Sb 2.78, 2 Au 2.81
8 Au 0.1871 0.5932 0.5932  2 Al 2.58, 4 Au 2.81-2.88
9 Au 0.8129 0.4068 0.4068  2 Al 2.58, 4 Au 2.81-2.88
10 Au 0.3670 0.9251 0.9251  1 Al 2.75, 1 Sb 2.78, 2 Au 2.81
11 Au 0.4068 0.4068 0.8129  2 Al 2.58, 4 Au 2.81-2.88
12 Au 0.0749 0.6330 0.0749  1 Al 2.75, 1 Sb 2.78, 2 Au 2.81
13 Ba 0.3517 0.3517 0.3517  12 Au 3.49-3.89
14 Ba 0.6483 0.6483 0.6483  12 Au 3.49-3.89
15 Al 0.0000 0.0000 0.5000  6 Au 2.58-2.75
16 Al 0.5000 0.0000 0.0000  6 Au 2.58-2.75
17 Al 0.0000 0.5000 0.0000  6 Au 2.58-2.75
18 Sb 0.0000 0.0000 0.0000  6 Au 2.78

Output
VASP energy: -3.53 eV per atom
Total magnetic moment: 0.0 μB/f.u.
Calculated volume: 423 Å³/cell
Raw formation energy: -284 meV per atom


Entry 9:
Compound: BaAlSbAu2
Source: Alexandria
Functional: PBE-GGA
Structure: relaxed

a = 6.0806 Å, b = 6.6785 Å, c = 6.0806 Å
α = 90.00°, β = 90.00°, γ = 90.00°
Closest atoms and distances in Å follow each position.
Fractional positions:
1 Sb 0.0000 0.5000 0.0000  2 Ba 3.34
2 Au 0.0000 0.0000 0.5000  2 Ba 3.04
3 Au 0.5000 0.0000 0.0000  2 Ba 3.04
4 Al 0.5000 0.5000 0.5000  4 Sb 4.30, 8 Au 4.52
5 Ba 0.0000 0.0000 0.0000  4 Au 3.04, 2 Sb 3.34

Output
VASP energy: -2.45 eV per atom
Total magnetic moment: 2.0 μB/f.u.
Calculated volume: 247 Å³/cell
Raw formation energy: 823 meV per atom


Entry 10:
Compound: Ba2AlSbAu6
Source: Alexandria
Functional: PBE-GGA
Structure: relaxed

a = 7.1398 Å, b = 7.4617 Å, c = 7.1418 Å
α = 74.81°, β = 50.50°, γ = 94.96°
Closest atoms and distances in Å follow each position.
Fractional positions:
1 Al 0.5000 0.5000 0.0000  6 Au 2.55-2.62
2 Au 0.7457 0.6141 0.1284  1 Al 2.62, 1 Sb 2.83, 2 Au 2.90
3 Au 0.2543 0.3859 0.8716  1 Al 2.62, 1 Sb 2.83, 2 Au 2.90
4 Au 0.7367 0.7104 0.5164  1 Al 2.55, 1 Sb 2.85
5 Au 0.2633 0.2896 0.4836  1 Al 2.55, 1 Sb 2.85
6 Au 0.2289 0.7121 0.0255  1 Al 2.55, 1 Sb 2.85
7 Au 0.7711 0.2879 0.9745  1 Al 2.55, 1 Sb 2.85
8 Sb 0.0000 0.0000 0.0000  6 Au 2.83-2.85
9 Ba 0.2617 0.8040 0.4556  11 Au 3.42-3.81
10 Ba 0.7383 0.1960 0.5444  11 Au 3.42-3.81

Output
VASP energy: -3.67 eV per atom
Total magnetic moment: 0.0 μB/f.u.
Calculated volume: 266 Å³/cell
Raw formation energy: -533 meV per atom


Entry 11:
Compound: BaScAl2Au
Source: Alexandria
Functional: PBE-GGA
Structure: relaxed

a = 5.6400 Å, b = 5.4698 Å, c = 5.6400 Å
α = 90.00°, β = 90.00°, γ = 90.00°
Closest atoms and distances in Å follow each position.
Fractional positions:
1 Sc 0.0000 0.5000 0.0000  2 Ba 2.73
2 Au 0.5000 0.5000 0.5000  8 Al 3.93, 4 Sc 3.99
3 Al 0.5000 0.0000 0.0000  2 Ba 2.82
4 Al 0.0000 0.0000 0.5000  2 Ba 2.82
5 Ba 0.0000 0.0000 0.0000  2 Sc 2.73, 4 Al 2.82

Output
VASP energy: -2.24 eV per atom
Total magnetic moment: 0.0 μB/f.u.
ΔH_f (0 K): 754 kJ/mol of formula units
Calculated volume: 174 Å³/cell


Entry 12:
Compound: BaAlAuSe3
Source: Alexandria
Functional: PBE-GGA
Structure: relaxed

a = 7.3693 Å, b = 7.3693 Å, c = 8.1468 Å
α = 70.98°, β = 70.98°, γ = 60.64°
Closest atoms and distances in Å follow each position.
Fractional positions:
1 Al 0.9639 0.9639 0.2606  3 Se 2.28-2.34
2 Al 0.0361 0.0361 0.7394  3 Se 2.28-2.34
3 Se 0.2286 0.2286 0.6564  1 Al 2.28
4 Se 0.7714 0.7714 0.3436  1 Al 2.28
5 Se 0.6648 0.1824 0.8282  1 Al 2.34, 1 Au 2.48
6 Se 0.3352 0.8176 0.1718  1 Al 2.34, 1 Au 2.48
7 Se 0.8176 0.3352 0.1718  1 Al 2.34, 1 Au 2.48
8 Se 0.1824 0.6648 0.8282  1 Al 2.34, 1 Au 2.48
9 Au 0.2627 0.7373 0.5000  2 Se 2.48
10 Au 0.7373 0.2627 0.5000  2 Se 2.48
11 Ba 0.7000 0.7000 0.7699  5 Se 3.24-3.61
12 Ba 0.3000 0.3000 0.2301  5 Se 3.24-3.61

Output
VASP energy: -4.22 eV per atom
Total magnetic moment: 0.0 μB/f.u.
Calculated volume: 357 Å³/cell
Raw formation energy: -984 meV per atom